# 1
SmMgPt | PBE | optimized geometry

The space group is P-62m (No. 189) and the conventional cell measures 7.1777, 7.1777 and 4.3192 Å, with angles of 90.00, 90.00 and 120.00 degrees. The distinct sites, in fractional coordinates, are Sm at (0.0000, 0.5618, 0.0000), Mg at (0.0000, 0.0000, 0.0000), Mg at (0.3333, 0.6667, 0.5000) and Pt at (0.0000, 0.2526, 0.5000).

The raw total energy comes out at -42.3 eV/cell.

# 2
SmMgPt | PBE | optimized geometry

The space group is P-62m (No. 189) and the conventional cell measures 7.4134, 7.4134 and 4.1454 Å, with angles of 90.00, 90.00 and 120.00 degrees. The distinct sites, in fractional coordinates, are Sm at (0.0000, 0.5883, 0.0000), Mg at (0.0000, 0.2424, 0.5000), Pt at (0.0000, 0.0000, 0.0000) and Pt at (0.3333, 0.6667, 0.5000).

The raw total energy comes out at -45.3 eV/cell.

# 3
SmMgPt | PBE | optimized geometry

The space group is F-43m (No. 216) and the conventional cell measures 6.817, 6.817 and 6.817 Å, with angles of 90.00, 90.00 and 90.00 degrees. The distinct sites, in fractional coordinates, are Sm at (0.000, 0.000, 0.000), Mg at (0.250, 0.250, 0.750) and Pt at (0.250, 0.250, 0.250).

The raw total energy comes out at -50.3 eV/cell.

# 4
SmMgPt | PBE | optimized geometry

The space group is P-62m (No. 189) and the conventional cell measures 7.7818, 7.7818 and 3.9967 Å, with angles of 90.00, 90.00 and 120.00 degrees. The distinct sites, in fractional coordinates, are Sm at (0.0000, 0.2712, 0.0000), Mg at (0.0000, 0.6056, 0.5000), Pt at (0.0000, 0.0000, 0.5000) and Pt at (0.3333, 0.6667, 0.0000).

The raw total energy comes out at -43.3 eV/cell.

# 5
Sm3Mg3TlPt2 | PBE | optimized geometry

The space group is P-62m (No. 189) and the conventional cell measures 7.5815, 7.5815 and 4.2553 Å, with angles of 90.00, 90.00 and 120.00 degrees. The distinct sites, in fractional coordinates, are Sm at (0.0000, 0.5755, 0.0000), Mg at (0.0000, 0.2587, 0.5000), Tl at (0.0000, 0.0000, 0.0000) and Pt at (0.3333, 0.6667, 0.5000).

The raw total energy comes out at -39.3 eV/cell.

# 6
Sm3Mg3Tl2Pt | PBE | optimized geometry

The space group is P-62m (No. 189) and the conventional cell measures 7.6124, 7.6124 and 4.4990 Å, with angles of 90.00, 90.00 and 120.00 degrees. The distinct sites, in fractional coordinates, are Sm at (0.0000, 0.6020, 0.0000), Mg at (0.0000, 0.2299, 0.5000), Tl at (0.3333, 0.6667, 0.5000) and Pt at (0.0000, 0.0000, 0.0000).

The raw total energy comes out at -34.3 eV/cell.

# 7
Mg2Sn2Pt3 | PBE | optimized geometry

The space group is R3m (No. 160, hexagonal axes) and the conventional cell measures 4.5551, 4.5551 and 22.2063 Å, with angles of 90.00, 90.00 and 120.00 degrees. The distinct sites, in fractional coordinates, are Mg at (0.0000, 0.0000, 0.0000), Mg at (0.0000, 0.0000, 0.4918), Sn at (0.0000, 0.0000, 0.2420), Sn at (0.0000, 0.0000, 0.7481), Pt at (0.0000, 0.0000, 0.3701), Pt at (0.0000, 0.0000, 0.6209) and Pt at (0.0000, 0.0000, 0.8706).

The raw total energy comes out at -102.0 eV/cell.

# 8
SrMgSnPt | PBE | optimized geometry

The space group is F-43m (No. 216) and the conventional cell measures 7.238, 7.238 and 7.238 Å, with angles of 90.00, 90.00 and 90.00 degrees. The distinct sites, in fractional coordinates, are Sr at (0.000, 0.000, 0.000), Mg at (0.000, 0.000, 0.500), Sn at (0.250, 0.250, 0.250) and Pt at (0.250, 0.250, 0.750).

For the energy above the lowest structure with this stoichiometry, the calculation gives 16.4 meV per atom. The raw total energy comes out at -59.6 eV/cell.

Q: What is the raw total energy in the fourth record?
A: -43.3 eV/cell

Q: Among the records above, which one has the lowest raw total energy?
A: Mg2Sn2Pt3